DFT (SCAN) results for a crystal of HgP2Pt relaxed with PBEsol.

a = 4.0535 Å, b = 4.0535 Å, c = 4.9162 Å
α = 114.35°, β = 114.35°, γ = 90.00°
Atoms (fractional coordinates):
P: 0.7500 0.2500 0.5000
P: 0.0000 0.0000 0.0000
Pt: 0.5000 0.5000 0.0000
Hg: 0.2500 0.7500 0.5000

Computed properties:
Energy relative to the elements, eV per atom: 0.684
Magnetization, μB/cell: 0.0
SG: No. 119

DFT (SCAN) results for a crystal of Hg2PPt relaxed with PBEsol.

a = 3.2052 Å, b = 5.0737 Å, c = 5.8182 Å
α = 110.95°, β = 90.00°, γ = 108.41°
Atoms (fractional coordinates):
Hg: 0.7647 0.5295 0.2529
Hg: 0.9499 0.8999 0.9383
Pt: 0.1877 0.3753 0.8025
P: 0.5977 0.1954 0.5063

Computed properties:
Energy relative to the elements, eV per atom: -0.012
Magnetization, μB/cell: 0.0
SG: No. 8

DFT (SCAN) results for a crystal of HgP2Pt relaxed with PBEsol.

a = 3.0334 Å, b = 3.0334 Å, c = 7.2305 Å
α = 90.00°, β = 90.00°, γ = 90.00°
Atoms (fractional coordinates):
Pt: 0.0000 0.0000 0.4430
Hg: 0.5000 0.5000 0.7348
P: 0.0000 0.0000 0.0826
P: 0.5000 0.5000 0.2396

Computed properties:
Energy relative to the elements, eV per atom: 0.394
Magnetization, μB/cell: 0.0
SG: No. 99

DFT (SCAN) results for a crystal of HgP2Pt relaxed with PBEsol.

a = 3.2324 Å, b = 4.4788 Å, c = 6.4021 Å
α = 99.74°, β = 90.00°, γ = 90.00°
Atoms (fractional coordinates):
Pt: 0.0000 0.4374 0.3727
P: 0.5000 0.6261 0.1349
P: 0.0000 0.9280 0.2662
Hg: 0.5000 0.5085 0.7262

Computed properties:
Energy relative to the elements, eV per atom: -0.098
Magnetization, μB/cell: 0.0
SG: No. 6

DFT (SCAN) results for a crystal of HgPPt relaxed with PBEsol.

a = 4.2642 Å, b = 4.2642 Å, c = 4.2642 Å
α = 60.00°, β = 60.00°, γ = 60.00°
Atoms (fractional coordinates):
Hg: 0.5000 0.5000 0.5000
P: 0.2500 0.2500 0.2500
Pt: 0.0000 0.0000 0.0000

Computed properties:
Energy relative to the elements, eV per atom: 0.320
Magnetization, μB/cell: 0.0
SG: No. 216

DFT (SCAN) results for a crystal of Hg2PPt relaxed with PBEsol.

a = 4.6654 Å, b = 4.6654 Å, c = 4.6654 Å
α = 60.00°, β = 60.00°, γ = 60.00°
Atoms (fractional coordinates):
Hg: 0.0000 0.0000 0.0000
Hg: 0.7500 0.7500 0.7500
P: 0.5000 0.5000 0.5000
Pt: 0.2500 0.2500 0.2500

Computed properties:
Energy relative to the elements, eV per atom: 0.563
Magnetization, μB/cell: 0.0
SG: No. 216

DFT (SCAN) results for a crystal of TiHgPPt2 relaxed with PBEsol.

a = 4.4751 Å, b = 4.4777 Å, c = 4.4777 Å
α = 90.00°, β = 90.00°, γ = 90.00°
Atoms (fractional coordinates):
Pt: 0.0000 0.5000 0.0000
Pt: 0.0000 0.0000 0.5000
Ti: 0.5000 0.0000 0.0000
P: 0.0000 0.0000 0.0000
Hg: 0.5000 0.5000 0.5000

Computed properties:
Energy relative to the elements, eV per atom: -0.122
Magnetization, μB/cell: 0.0
SG: No. 123

DFT (SCAN) results for a crystal of RbHg2P2 relaxed with PBEsol.

a = 4.6903 Å, b = 4.6903 Å, c = 6.3285 Å
α = 111.75°, β = 111.75°, γ = 90.00°
Atoms (fractional coordinates):
P: 0.2500 0.7500 0.5000
P: 0.7500 0.2500 0.5000
Hg: 0.3698 0.3698 0.7395
Hg: 0.6302 0.6302 0.2605
Rb: 0.0000 0.0000 0.0000

Computed properties:
Energy relative to the elements, eV per atom: 0.086
Magnetization, μB/cell: 0.0
SG: No. 139